Al2CuAgAs | PBE | optimized geometry

Fermi-level density of states, states/eV per atom: 0.40
Magnetization, μB per formula unit: 0.000
Energy of formation, eV/atom: 0.5535
Space group: No. 123

a = 5.0232 Å, b = 4.4196 Å, c = 5.0232 Å
α = 90.00°, β = 90.00°, γ = 90.00°
Fractional coordinates of all 5 atoms:
1 Ag 0.5000 0.5000 0.5000
2 Al 0.5000 0.0000 0.0000
3 As 0.0000 0.0000 0.0000
4 Cu 0.0000 0.5000 0.0000
5 Al 0.0000 0.0000 0.5000